#one
Entry from OQMD: an optimized crystal structure of LiFeAgB (PBE-GGA).

Properties
* total moment: 2.031 Bohr magnetons per cell
* density: 6.86 g cm⁻³

Cell: 3.9597 3.9597 3.9597 Å, 60.00 60.00 60.00°
Element x y z (fractional)
Li: 0.0000 0.0000 0.0000
Fe: 0.7500 0.7500 0.7500
Ag: 0.2500 0.2500 0.2500
B: 0.5000 0.5000 0.5000


#two
Entry from OQMD: an optimized crystal structure of LiFeAgB (PBE-GGA).

Properties
* total moment: 2.493 Bohr magnetons per cell
* density: 6.31 g cm⁻³

Cell: 4.0731 4.0731 4.0731 Å, 60.00 60.00 60.00°
Element x y z (fractional)
Li: 0.0000 0.0000 0.0000
Fe: 0.5000 0.5000 0.5000
Ag: 0.7500 0.7500 0.7500
B: 0.2500 0.2500 0.2500


Energy comparison, zero being the most stable, in meV per atom: #one 0; #two 120.


#one
Entry from OQMD: an optimized crystal structure of LuFeAgB (PBE-GGA).

Properties
* total moment: 1.905 Bohr magnetons per cell
* density: 9.75 g cm⁻³

Cell: 4.3821 4.3821 4.3821 Å, 60.00 60.00 60.00°
Element x y z (fractional)
Lu: 0.0000 0.0000 0.0000
Fe: 0.7500 0.7500 0.7500
Ag: 0.2500 0.2500 0.2500
B: 0.5000 0.5000 0.5000


#two
Entry from OQMD: an optimized crystal structure of LuFeAgB (PBE-GGA).

Properties
* total moment: 2.532 Bohr magnetons per cell
* density: 9.41 g cm⁻³

Cell: 4.4340 4.4340 4.4340 Å, 60.00 60.00 60.00°
Element x y z (fractional)
Lu: 0.0000 0.0000 0.0000
Fe: 0.5000 0.5000 0.5000
Ag: 0.7500 0.7500 0.7500
B: 0.2500 0.2500 0.2500


Energy comparison, zero being the most stable, in meV per atom: #one 237; #two 0.